## CuPtAu14 (PBE)

Data for crystalline CuPtAu14 at its relaxed geometry.

Structure (POSCAR):
```
CuPtAu14
1.0
5.719 -0.152 0.000
-2.381 5.201 0.000
0.000 0.000 9.650
Cu Pt Au
1 1 14
Direct
0.054 0.946 0.500
0.554 0.446 0.500
0.197 0.803 0.000
0.695 0.305 0.000
0.055 0.444 0.500
0.195 0.301 0.000
0.556 0.945 0.500
0.699 0.805 0.000
0.369 0.123 0.741
0.369 0.123 0.259
0.877 0.631 0.741
0.877 0.631 0.259
0.376 0.624 0.748
0.376 0.624 0.252
0.874 0.126 0.746
0.874 0.126 0.254
```

Calculated volume, Å³ per cell: 284
Calculated formation energy, meV per atom: 16
Electronic total energy, hartree per atom: -0.128